First-principles (meta-GGA SCAN) data for a PBEsol-optimized structure of ZnAsOs2, as listed in Alexandria.

Structure (POSCAR):
```
ZnAsOs2
1.0
2.8349 0.0037 0.0000
-1.3631 2.4857 0.0000
0.0000 0.0000 8.3003
As Os Zn
1 2 1
Cartesian
0.7359 1.2447 0.0000 As
0.0000 0.0000 1.9941 Os
0.0000 0.0000 6.3062 Os
0.7359 1.2447 4.1502 Zn
```

The density of states at the Fermi level is 3.10 states/eV/cell. As for the energy of formation from the pure elements: 591 meV per atom.